Record 1
Below is a geometry-optimized PaInSn structure, with properties calculated at the PBE-GGA level.

Unit cell a=8.137 b=8.137 c=4.294 alpha=90.00 beta=90.00 gamma=146.82
Positions (direct):
Pa1 0.087 0.913 0.750
Pa2 0.913 0.087 0.250
In1 0.255 0.745 0.250
In2 0.745 0.255 0.750
Sn1 0.425 0.575 0.750
Sn2 0.575 0.425 0.250

Summary:
DFT formation energy: -0.118 eV/atom
crystal system: orthorhombic
SG: Cmcm (63)
density: 9.92 g cm⁻³
volume: 156 Å³/cell
electronic total energy: -5.530 eV/atom

Record 2
Below is a geometry-optimized PaInSn structure, with properties calculated at the PBE-GGA level.

Unit cell a=7.861 b=7.861 c=7.861 alpha=156.47 beta=156.47 gamma=33.53
Positions (direct):
Pa1 0.000 0.000 0.000
In1 0.662 0.662 0.000
Sn1 0.338 0.338 0.000

Summary:
DFT formation energy: 0.049 eV/atom
crystal system: tetragonal
SG: I4mm (107)
density: 9.97 g cm⁻³
volume: 77 Å³/cell
electronic total energy: -5.364 eV/atom

Record 3
Below is a geometry-optimized Pa2In5Sn structure, with properties calculated at the PBE-GGA level.

Unit cell a=6.594 b=13.187 c=4.599 alpha=90.00 beta=90.00 gamma=90.00
Positions (direct):
Pa1 0.237 0.121 0.000
Pa2 0.263 0.621 0.000
Pa3 0.737 0.379 0.000
Pa4 0.763 0.879 0.000
In1 0.000 0.500 0.500
In2 0.012 0.749 0.500
In3 0.237 0.371 0.000
In4 0.263 0.871 0.000
In5 0.488 0.249 0.500
In6 0.500 0.000 0.500
In7 0.512 0.751 0.500
In8 0.737 0.129 0.000
In9 0.763 0.629 0.000
In10 0.988 0.251 0.500
Sn1 0.000 0.000 0.500
Sn2 0.500 0.500 0.500

Summary:
DFT formation energy: -0.173 eV/atom
crystal system: orthorhombic
SG: Pbam (55)
density: 9.59 g cm⁻³
volume: 400 Å³/cell
electronic total energy: -4.759 eV/atom

Record 4
Below is a geometry-optimized PaInSn structure, with properties calculated at the PBE-GGA level.

Unit cell a=4.397 b=4.397 c=8.373 alpha=90.00 beta=90.00 gamma=90.00
Positions (direct):
Pa1 0.250 0.250 0.185
Pa2 0.750 0.750 0.815
In1 0.250 0.750 0.500
In2 0.750 0.250 0.500
Sn1 0.250 0.250 0.816
Sn2 0.750 0.750 0.184

Summary:
DFT formation energy: -0.029 eV/atom
crystal system: tetragonal
SG: P4/nmm (129)
density: 9.53 g cm⁻³
volume: 162 Å³/cell
electronic total energy: -5.442 eV/atom

Record 5
Below is a geometry-optimized Pa2InSn4 structure, with properties calculated at the PBE-GGA level.

Unit cell a=6.448 b=6.448 c=4.633 alpha=90.00 beta=90.00 gamma=93.34
Positions (direct):
Pa1 0.239 0.761 0.000
Pa2 0.761 0.239 0.000
In1 0.000 0.000 0.500
Sn1 0.000 0.500 0.500
Sn2 0.269 0.269 0.000
Sn3 0.500 0.000 0.500
Sn4 0.731 0.731 0.000

Summary:
DFT formation energy: -0.187 eV/atom
crystal system: orthorhombic
SG: Cmmm (65)
density: 9.08 g cm⁻³
volume: 192 Å³/cell
electronic total energy: -5.579 eV/atom

Record 6
Below is a geometry-optimized Pa2In3Sn3 structure, with properties calculated at the PBE-GGA level.

Unit cell a=4.661 b=4.761 c=9.021 alpha=90.00 beta=90.00 gamma=90.00
Positions (direct):
Pa1 0.000 0.000 0.245
Pa2 0.000 0.000 0.755
In1 0.000 0.500 0.500
In2 0.500 0.500 0.252
In3 0.500 0.500 0.748
Sn1 0.000 0.500 0.000
Sn2 0.500 0.000 0.000
Sn3 0.500 0.000 0.500

Summary:
DFT formation energy: -0.244 eV/atom
crystal system: orthorhombic
SG: Pmmm (47)
density: 9.65 g cm⁻³
volume: 200 Å³/cell
electronic total energy: -5.146 eV/atom